Record 1
First-principles (PBE with a Hubbard U) data for crystalline NaSi2WO at its relaxed geometry, as listed in Alexandria.

Calculated total energy, eV/cell: -23.8
D(E_F), states/eV/f.u.: 3.07

Geometry as CIF:
```
data_NaSi2WO
_chemical_formula_sum 'Na1 Si2 W1 O1'
_cell_length_a 5.004
_cell_length_b 5.004
_cell_length_c 3.923
_cell_angle_alpha 90.00
_cell_angle_beta 90.00
_cell_angle_gamma 90.00
_space_group_name_H-M_alt 'P 1'
_space_group_IT_number 1
loop_
_space_group_symop_operation_xyz
'x,y,z'
loop_
_atom_site_label
_atom_site_type_symbol
_atom_site_fract_x
_atom_site_fract_y
_atom_site_fract_z
Na1 Na 0.000 0.000 0.000
Si1 Si 0.000 0.500 0.500
Si2 Si 0.500 0.000 0.500
W1 W 0.500 0.500 0.500
O1 O 0.500 0.500 0.000
```



Record 2
First-principles (PBE with a Hubbard U) data for crystalline NaFeOF2 at its relaxed geometry, as listed in Alexandria.

Calculated total energy, eV/cell: -20.4
D(E_F), states/eV/f.u.: 0.25

Geometry as CIF:
```
data_NaFeOF2
_chemical_formula_sum 'Na1 Fe1 O1 F2'
_cell_length_a 3.992
_cell_length_b 3.992
_cell_length_c 4.194
_cell_angle_alpha 90.00
_cell_angle_beta 90.00
_cell_angle_gamma 90.00
_space_group_name_H-M_alt 'P 1'
_space_group_IT_number 1
loop_
_space_group_symop_operation_xyz
'x,y,z'
loop_
_atom_site_label
_atom_site_type_symbol
_atom_site_fract_x
_atom_site_fract_y
_atom_site_fract_z
Na1 Na 0.000 0.000 0.000
Fe1 Fe 0.500 0.500 0.500
O1 O 0.000 0.000 0.500
F1 F 0.000 0.500 0.000
F2 F 0.500 0.000 0.000
```



Look up the D(E_F) of the first one. 3.07 states/eV/f.u.